[1]
# CaAsPt (PBE, optimized geometry)
data_CaAsPt
_cell_length_a 5.440
_cell_length_b 5.440
_cell_length_c 17.372
_cell_angle_alpha 90.00
_cell_angle_beta 90.00
_cell_angle_gamma 120.00
_symmetry_space_group_name_H-M 'P 1'
_symmetry_Int_Tables_number 1
loop_
_symmetry_equiv_pos_as_xyz
'x,y,z'
loop_
_atom_site_label
_atom_site_fract_x
_atom_site_fract_y
_atom_site_fract_z
Ca1 0.000 0.000 0.000
Ca2 0.000 0.000 0.333
Ca3 0.000 0.000 0.667
Ca4 0.000 0.500 0.167
Ca5 0.500 0.000 0.500
Ca6 0.500 0.500 0.833
As1 0.000 0.500 0.433
As2 0.000 0.500 0.900
As3 0.500 0.000 0.233
As4 0.500 0.000 0.767
As5 0.500 0.500 0.100
As6 0.500 0.500 0.567
Pt1 0.280 0.640 0.667
Pt2 0.360 0.640 0.333
Pt3 0.360 0.720 0.000
Pt4 0.640 0.280 0.000
Pt5 0.640 0.360 0.333
Pt6 0.720 0.360 0.667
# - crystal system = hexagonal
# - ΔE_f (eV per atom) = -0.6861



[2]
# Ca2AsPt2 (PBE, optimized geometry)
data_Ca2AsPt2
_cell_length_a 5.613
_cell_length_b 5.613
_cell_length_c 5.613
_cell_angle_alpha 133.71
_cell_angle_beta 120.70
_cell_angle_gamma 78.37
_symmetry_space_group_name_H-M 'P 1'
_symmetry_Int_Tables_number 1
loop_
_symmetry_equiv_pos_as_xyz
'x,y,z'
loop_
_atom_site_label
_atom_site_fract_x
_atom_site_fract_y
_atom_site_fract_z
Ca1 0.194 0.194 0.000
Ca2 0.806 0.806 0.000
As1 0.500 0.000 0.500
Pt1 0.243 0.500 0.743
Pt2 0.757 0.500 0.257
# - crystal system = orthorhombic
# - ΔE_f (eV per atom) = -0.9846
# - ΔE to the lowest computed polymorph (eV per atom) = 0.000



[3]
# CaAs2Pt (PBE, optimized geometry)
data_CaAs2Pt
_cell_length_a 3.684
_cell_length_b 3.684
_cell_length_c 6.794
_cell_angle_alpha 90.00
_cell_angle_beta 90.00
_cell_angle_gamma 111.27
_symmetry_space_group_name_H-M 'P 1'
_symmetry_Int_Tables_number 1
loop_
_symmetry_equiv_pos_as_xyz
'x,y,z'
loop_
_atom_site_label
_atom_site_fract_x
_atom_site_fract_y
_atom_site_fract_z
Ca1 0.000 0.000 0.000
As1 0.500 0.500 0.290
As2 0.500 0.500 0.710
Pt1 0.000 0.000 0.500
# - crystal system = orthorhombic
# - ΔE_f (eV per atom) = -0.3830



[4]
# CaAs2Pt (PBE, optimized geometry)
data_CaAs2Pt
_cell_length_a 4.834
_cell_length_b 4.834
_cell_length_c 4.834
_cell_angle_alpha 60.00
_cell_angle_beta 60.00
_cell_angle_gamma 60.00
_symmetry_space_group_name_H-M 'P 1'
_symmetry_Int_Tables_number 1
loop_
_symmetry_equiv_pos_as_xyz
'x,y,z'
loop_
_atom_site_label
_atom_site_fract_x
_atom_site_fract_y
_atom_site_fract_z
Ca1 0.000 0.000 0.000
As1 0.250 0.250 0.250
As2 0.500 0.500 0.500
Pt1 0.750 0.750 0.750
# - crystal system = cubic
# - ΔE_f (eV per atom) = -0.2666



[5]
# CaAsPt2 (PBE, optimized geometry)
data_CaAsPt2
_cell_length_a 4.445
_cell_length_b 4.445
_cell_length_c 5.567
_cell_angle_alpha 113.44
_cell_angle_beta 113.44
_cell_angle_gamma 59.99
_symmetry_space_group_name_H-M 'P 1'
_symmetry_Int_Tables_number 1
loop_
_symmetry_equiv_pos_as_xyz
'x,y,z'
loop_
_atom_site_label
_atom_site_fract_x
_atom_site_fract_y
_atom_site_fract_z
Ca1 0.000 0.000 0.000
As1 0.500 0.500 0.500
Pt1 0.202 0.202 0.606
Pt2 0.798 0.798 0.394
# - crystal system = monoclinic
# - ΔE_f (eV per atom) = -0.6432



[6]
# CaAsPt (PBE, optimized geometry)
data_CaAsPt
_cell_length_a 8.048
_cell_length_b 8.048
_cell_length_c 8.048
_cell_angle_alpha 149.89
_cell_angle_beta 149.89
_cell_angle_gamma 43.11
_symmetry_space_group_name_H-M 'P 1'
_symmetry_Int_Tables_number 1
loop_
_symmetry_equiv_pos_as_xyz
'x,y,z'
loop_
_atom_site_label
_atom_site_fract_x
_atom_site_fract_y
_atom_site_fract_z
Ca1 0.000 0.000 0.000
Ca2 0.750 0.250 0.500
As1 0.169 0.669 0.500
As2 0.419 0.419 0.000
Pt1 0.333 0.833 0.500
Pt2 0.583 0.583 0.000
# - crystal system = tetragonal
# - ΔE_f (eV per atom) = -1.0349



[7]
# CaAs2Pt (PBE, optimized geometry)
data_CaAs2Pt
_cell_length_a 4.720
_cell_length_b 4.026
_cell_length_c 4.741
_cell_angle_alpha 90.00
_cell_angle_beta 100.14
_cell_angle_gamma 90.00
_symmetry_space_group_name_H-M 'P 1'
_symmetry_Int_Tables_number 1
loop_
_symmetry_equiv_pos_as_xyz
'x,y,z'
loop_
_atom_site_label
_atom_site_fract_x
_atom_site_fract_y
_atom_site_fract_z
Ca1 0.000 0.000 0.000
As1 0.250 0.500 0.657
As2 0.750 0.500 0.343
Pt1 0.500 0.000 0.500
# - crystal system = monoclinic
# - ΔE_f (eV per atom) = -0.7905



[8]
# Ca3AsPt3 (PBE, optimized geometry)
data_Ca3AsPt3
_cell_length_a 5.693
_cell_length_b 5.693
_cell_length_c 14.894
_cell_angle_alpha 108.42
_cell_angle_beta 108.42
_cell_angle_gamma 43.68
_symmetry_space_group_name_H-M 'P 1'
_symmetry_Int_Tables_number 1
loop_
_symmetry_equiv_pos_as_xyz
'x,y,z'
loop_
_atom_site_label
_atom_site_fract_x
_atom_site_fract_y
_atom_site_fract_z
Ca1 0.023 0.023 0.384
Ca2 0.105 0.105 0.925
Ca3 0.248 0.248 0.224
Ca4 0.752 0.752 0.776
Ca5 0.895 0.895 0.075
Ca6 0.977 0.977 0.616
As1 0.268 0.268 0.602
As2 0.732 0.732 0.398
Pt1 0.359 0.359 0.453
Pt2 0.387 0.387 0.922
Pt3 0.454 0.454 0.762
Pt4 0.546 0.546 0.238
Pt5 0.613 0.613 0.078
Pt6 0.641 0.641 0.547
# - crystal system = monoclinic
# - ΔE_f (eV per atom) = -0.8936



[9]
# CaAsPt2 (PBE, optimized geometry)
data_CaAsPt2
_cell_length_a 3.193
_cell_length_b 4.317
_cell_length_c 5.549
_cell_angle_alpha 90.00
_cell_angle_beta 90.00
_cell_angle_gamma 90.00
_symmetry_space_group_name_H-M 'P 1'
_symmetry_Int_Tables_number 1
loop_
_symmetry_equiv_pos_as_xyz
'x,y,z'
loop_
_atom_site_label
_atom_site_fract_x
_atom_site_fract_y
_atom_site_fract_z
Ca1 0.000 0.000 0.000
As1 0.500 0.000 0.500
Pt1 0.500 0.500 0.249
Pt2 0.500 0.500 0.751
# - crystal system = orthorhombic
# - ΔE_f (eV per atom) = -0.5884



[10]
# CaAs3Pt (PBE, optimized geometry)
data_CaAs3Pt
_cell_length_a 5.209
_cell_length_b 5.209
_cell_length_c 5.209
_cell_angle_alpha 90.00
_cell_angle_beta 90.00
_cell_angle_gamma 90.00
_symmetry_space_group_name_H-M 'P 1'
_symmetry_Int_Tables_number 1
loop_
_symmetry_equiv_pos_as_xyz
'x,y,z'
loop_
_atom_site_label
_atom_site_fract_x
_atom_site_fract_y
_atom_site_fract_z
Ca1 0.000 0.000 0.000
As1 0.000 0.000 0.500
As2 0.000 0.500 0.000
As3 0.500 0.000 0.000
Pt1 0.500 0.500 0.500
# - crystal system = cubic
# - ΔE_f (eV per atom) = 1.2515
# - ΔE to the lowest computed polymorph (eV per atom) = 1.258



[11]
# CaAsPt2 (PBE, optimized geometry)
data_CaAsPt2
_cell_length_a 4.985
_cell_length_b 4.985
_cell_length_c 4.959
_cell_angle_alpha 107.73
_cell_angle_beta 107.73
_cell_angle_gamma 46.08
_symmetry_space_group_name_H-M 'P 1'
_symmetry_Int_Tables_number 1
loop_
_symmetry_equiv_pos_as_xyz
'x,y,z'
loop_
_atom_site_label
_atom_site_fract_x
_atom_site_fract_y
_atom_site_fract_z
Ca1 0.000 0.000 0.000
As1 0.215 0.215 0.619
Pt1 0.503 0.503 0.475
Pt2 0.787 0.787 0.393
# - crystal system = monoclinic
# - ΔE_f (eV per atom) = -0.7069



[12]
# CaAs2Pt (PBE, optimized geometry)
data_CaAs2Pt
_cell_length_a 6.522
_cell_length_b 6.522
_cell_length_c 6.522
_cell_angle_alpha 36.14
_cell_angle_beta 36.14
_cell_angle_gamma 36.14
_symmetry_space_group_name_H-M 'P 1'
_symmetry_Int_Tables_number 1
loop_
_symmetry_equiv_pos_as_xyz
'x,y,z'
loop_
_atom_site_label
_atom_site_fract_x
_atom_site_fract_y
_atom_site_fract_z
Ca1 0.000 0.000 0.000
As1 0.219 0.219 0.219
As2 0.431 0.431 0.431
Pt1 0.823 0.823 0.823
# - crystal system = trigonal
# - ΔE_f (eV per atom) = -0.7025



- ΔE_f of number 10 (CaAs3Pt)?
  1.2515 eV per atom



- Among the records above, which one has the highest ΔE_f?
  CaAs3Pt